Compound: LiTm2Ga
Source: Alexandria via LeMat-Bulk
Functional: meta-GGA SCAN
Structure: PBEsol geometry

## Properties
V: 342.7 Å³/cell
Raw total energy: -123.78 eV/f.u.

```
data_LiTm2Ga
_chemical_formula_sum 'Li4 Tm8 Ga4'
_symmetry_space_group_name_H-M 'F m -3 m'
_symmetry_Int_Tables_number 225
_symmetry_space_group_name_Hall '-F 4 2 3'
_cell_length_a 6.998
_cell_length_b 6.998
_cell_length_c 6.998
_cell_angle_alpha 90.00
_cell_angle_beta 90.00
_cell_angle_gamma 90.00
loop_
_atom_site_label
_atom_site_type_symbol
_atom_site_fract_x
_atom_site_fract_y
_atom_site_fract_z
_atom_site_occupancy
Li1 Li 0.000 0.000 0.000 1
Tm1 Tm 0.250 0.250 0.250 1
Ga1 Ga 0.000 0.000 0.500 1
```